VASP calculation (PBE) on a relaxed Y2InRh2 crystal.

Cell: 3.9475 3.9475 8.1289 Å, 75.95 75.95 90.00°
Last column: nearest neighbours and their distance in Å.
Positions (direct):
In  0.0000  0.0000  0.0000  8 Y 3.35
Y  0.6213  0.6213  0.7574  4 Rh 2.79
Rh  0.7500  0.2500  0.5000  4 Y 2.79, 4 Rh 2.79
Y  0.3787  0.3787  0.2426  4 Rh 2.79
Rh  0.2500  0.7500  0.5000  4 Y 2.79, 4 Rh 2.79

Values from the calculation:
DFT total energy = -32.12 eV/f.u.
Density = 7.0 g/cm3
DOS at the Fermi energy = 3.68 states/eV per cell